# 1
## Ba5P2BrN (PBE)

Data for an optimized crystal structure of Ba5P2BrN.

Cell: 5.232 7.969 15.922 Å, 90.00 90.00 90.00°
Space group Immm (No. 71)
One atom of each set of equivalent atoms:
Ba: 0.000 0.000 0.000 (multiplicity 2)
Ba: 0.000 0.270 0.358 (multiplicity 8)
P: 0.000 0.000 0.203 (multiplicity 4)
Br: 0.000 0.500 0.000 (multiplicity 2)
N: 0.000 0.500 0.500 (multiplicity 2)

# 2
## Ba6PBr3N2 (PBE)

Data for an optimized crystal structure of Ba6PBr3N2.

Cell: 7.547 13.079 8.399 Å, 90.00 107.64 90.00°
Space group C2/m (No. 12)
One atom of each set of equivalent atoms:
Ba: 0.201 0.000 0.192 (multiplicity 4)
Ba: 0.246 0.318 0.193 (multiplicity 8)
P: 0.000 0.500 0.000 (multiplicity 2)
Br: 0.000 0.000 0.500 (multiplicity 2)
Br: 0.000 0.340 0.500 (multiplicity 4)
N: 0.000 0.168 0.000 (multiplicity 4)

# 3
## Ba3Pa2Br2N5 (PBE)

Data for an optimized crystal structure of Ba3Pa2Br2N5.

Cell: 4.460 4.460 27.089 Å, 90.00 90.00 90.00°
Space group I4/mmm (No. 139)
One atom of each set of equivalent atoms:
Ba: 0.000 0.000 0.000 (multiplicity 2)
Ba: 0.000 0.000 0.158 (multiplicity 4)
Pa: 0.000 0.000 0.419 (multiplicity 4)
Br: 0.000 0.000 0.297 (multiplicity 4)
N: 0.000 0.000 0.500 (multiplicity 2)
N: 0.000 0.500 0.092 (multiplicity 8)

# 4
## BaPb2BrN (PBE)

Data for an optimized crystal structure of BaPb2BrN.

Cell: 6.701 6.701 5.913 Å, 90.00 90.00 90.00°
Space group P4/mmm (No. 123)
One atom of each set of equivalent atoms:
Ba: 0.000 0.000 0.000 (multiplicity 1)
Pb: 0.000 0.500 0.000 (multiplicity 2)
Br: 0.000 0.000 0.500 (multiplicity 1)
N: 0.500 0.500 0.500 (multiplicity 1)

# 5
## Ba8Pd3Br4N (PBE)

Data for an optimized crystal structure of Ba8Pd3Br4N.

Cell: 9.0693 9.0693 24.6046 Å, 90.00 90.00 120.00°
Space group R-3m (No. 166, hexagonal axes)
One atom of each set of equivalent atoms:
Ba: 0.0000 0.0000 0.2422 (multiplicity 6)
Ba: 0.0266 0.5133 0.2323 (multiplicity 18)
Pd: 0.0000 0.5000 0.5000 (multiplicity 9)
Br: 0.0000 0.0000 0.0000 (multiplicity 3)
Br: 0.0000 0.5000 0.0000 (multiplicity 9)
N: 0.0000 0.0000 0.5000 (multiplicity 3)

# 6
## Ba2PdBrN (PBE)

Data for an optimized crystal structure of Ba2PdBrN.

Cell: 5.729 5.729 4.047 Å, 90.00 90.00 90.00°
Space group P4/mmm (No. 123)
One atom of each set of equivalent atoms:
Ba: 0.000 0.500 0.000 (multiplicity 2)
Pd: 0.000 0.000 0.500 (multiplicity 1)
Br: 0.500 0.500 0.500 (multiplicity 1)
N: 0.000 0.000 0.000 (multiplicity 1)

What did we get for energy? Answer: -4.349; -4.507; -7.309; -2.395; -3.975; -4.698 eV/atom, in the order shown.
What did we get for energy relative to the elements, uncorrected? Answer: -967; -1289; -1498; 1473; -1101; -891 meV per atom, in the order shown.